DFT (PBE) results for a relaxed Zr12PaTl3 crystal.

Cell and atoms, written as POSCAR:
```
Zr12PaTl3
1.0
4.446 0.000 0.000
0.000 4.446 0.000
0.000 0.000 18.506
Zr Pa Tl
12 1 3
direct
0.000 0.000 0.000
0.000 0.000 0.246
0.000 0.000 0.500
0.000 0.000 0.754
0.000 0.500 0.122
0.000 0.500 0.371
0.000 0.500 0.629
0.000 0.500 0.878
0.500 0.000 0.122
0.500 0.000 0.371
0.500 0.000 0.629
0.500 0.000 0.878
0.500 0.500 0.500
0.500 0.500 0.000
0.500 0.500 0.246
0.500 0.500 0.754
```

Calculated values
* energy: -120.1 eV/cell
* ΔE_f: -5.5 kJ per mole of atoms
* crystal system: tetragonal